1.
VASP calculation (PBE) on LaTlPd6 after structural relaxation.

Unit cell a=4.1801 b=4.1801 c=8.2571 alpha=90.00 beta=90.00 gamma=90.00
Sites, in units of the cell vectors:
1 La 0.0000 0.0000 0.0000
2 Tl 0.0000 0.0000 0.5000
3 Pd 0.5000 0.5000 0.0000
4 Pd 0.5000 0.5000 0.5000
5 Pd 0.5000 0.0000 0.2591
6 Pd 0.5000 0.0000 0.7409
7 Pd 0.0000 0.5000 0.2591
8 Pd 0.0000 0.5000 0.7409

Computed properties:
symmetry	P4/mmm, No. 123
crystal system	tetragonal
E above lowest polymorph	0	meV per atom
magnetization	0.00	μB per formula unit
total DFT energy (no corrections)	-5.31	eV per atom
formation energy from the elements	-3.995	eV/f.u.

=====

2.
VASP calculation (PBE) on Ta2AgCl after structural relaxation.

Unit cell a=9.3703 b=9.3703 c=9.3703 alpha=18.14 beta=18.14 gamma=18.14
Sites, in units of the cell vectors:
1 Cl 0.7500 0.7500 0.7500
2 Ag 0.2500 0.2500 0.2500
3 Ta 0.0050 0.0050 0.0050
4 Ta 0.4950 0.4950 0.4950

Computed properties:
symmetry	R-3m, No. 166
crystal system	trigonal
E above lowest polymorph	331	meV per atom
magnetization	0.00	μB per formula unit
raw formation energy	0.279	eV/atom
total DFT energy (no corrections)	-6.82	eV per atom

=====

3.
VASP calculation (PBE) on MoAu2Br after structural relaxation.

Unit cell a=3.0534 b=4.6711 c=5.4086 alpha=90.00 beta=90.00 gamma=90.00
Sites, in units of the cell vectors:
1 Mo 0.0000 0.5000 0.5000
2 Au 0.0000 0.0000 0.0000
3 Au 0.5000 0.5000 0.0000
4 Br 0.5000 0.0000 0.5000

Computed properties:
symmetry	Pmmm, No. 47
crystal system	orthorhombic
E above lowest polymorph	449	meV per atom
magnetization	2.19	μB per formula unit
raw formation energy	0.671	eV/atom
total DFT energy (no corrections)	-4.09	eV per atom

=====

4.
VASP calculation (PBE) on Dy4ErAl3 after structural relaxation.

Unit cell a=3.3663 b=8.5809 c=8.6763 alpha=119.64 beta=101.19 gamma=90.00
Sites, in units of the cell vectors:
1 Dy 0.3600 0.5571 0.7201
2 Dy 0.6400 0.4429 0.2799
3 Dy 0.6399 0.8370 0.2799
4 Dy 0.3601 0.1630 0.7201
5 Er 0.5000 0.0000 0.0000
6 Al 0.0000 0.5000 0.0000
7 Al 0.1821 0.1822 0.3642
8 Al 0.8179 0.8178 0.6358

Computed properties:
symmetry	Immm, No. 71
crystal system	orthorhombic
magnetization	0.00	μB per formula unit
total DFT energy (no corrections)	-4.41	eV per atom
formation energy from the elements	-1.076	eV/f.u.

=====

5.
VASP calculation (PBE) on BeCd2Pb after structural relaxation.

Unit cell a=4.3148 b=4.3150 c=4.7406 alpha=90.00 beta=90.00 gamma=90.00
Sites, in units of the cell vectors:
1 Pb 0.5000 0.0000 0.5000
2 Be 0.0000 0.5000 0.5000
3 Cd 0.0000 0.0000 0.0000
4 Cd 0.5000 0.5000 0.0000

Computed properties:
symmetry	P4/mmm, No. 123
crystal system	tetragonal
E above lowest polymorph	150	meV per atom
magnetization	0.00	μB per formula unit
total DFT energy (no corrections)	-1.86	eV per atom
formation energy from the elements	1.807	eV/f.u.

=====

6.
VASP calculation (PBE) on Cs3KAg2Cl6 after structural relaxation.

Unit cell a=8.2452 b=8.2452 c=9.1617 alpha=90.00 beta=90.00 gamma=120.00
Sites, in units of the cell vectors:
1 Cs 0.3333 0.6667 0.6558
2 Cs 0.6667 0.3333 0.3442
3 Cs 0.0000 0.0000 0.0000
4 K 0.0000 0.0000 0.5000
5 Ag 0.6667 0.3333 0.7487
6 Ag 0.3333 0.6667 0.2513
7 Cl 0.6769 0.8385 0.2814
8 Cl 0.1615 0.3231 0.2814
9 Cl 0.1615 0.8385 0.2814
10 Cl 0.8385 0.6769 0.7186
11 Cl 0.3231 0.1615 0.7186
12 Cl 0.8385 0.1615 0.7186

Computed properties:
symmetry	P-3m1, No. 164
crystal system	trigonal
magnetization	0.00	μB per formula unit
raw formation energy	-1.393	eV/atom
total DFT energy (no corrections)	-3.10	eV per atom

=====

7.
VASP calculation (PBE) on UMnP2Ir2 after structural relaxation.

Unit cell a=3.7810 b=7.4275 c=6.4954 alpha=90.00 beta=90.00 gamma=90.00
Sites, in units of the cell vectors:
1 U 0.0000 0.9879 0.3723
2 U 0.0000 0.4879 0.6277
3 Mn 0.5000 0.0998 0.6532
4 Mn 0.5000 0.5998 0.3468
5 P 0.0000 0.1868 0.8359
6 P 0.5000 0.2847 0.3749
7 P 0.0000 0.6868 0.1641
8 P 0.5000 0.7847 0.6251
9 Ir 0.5000 0.1085 0.0645
10 Ir 0.0000 0.3780 0.1364
11 Ir 0.5000 0.6085 0.9355
12 Ir 0.0000 0.8780 0.8636

Computed properties:
symmetry	Pmc2_1, No. 26
crystal system	orthorhombic
magnetization	0.63	μB per formula unit
total DFT energy (no corrections)	-8.74	eV per atom
formation energy from the elements	-3.445	eV/f.u.

=====

8.
VASP calculation (PBE) on TmPuMgPb after structural relaxation.

Unit cell a=5.3616 b=5.3616 c=5.3616 alpha=60.00 beta=60.00 gamma=60.00
Sites, in units of the cell vectors:
1 Pb 0.0000 0.0000 0.0000
2 Mg 0.5000 0.5000 0.5000
3 Tm 0.7500 0.7500 0.7500
4 Pu 0.2500 0.2500 0.2500

Computed properties:
symmetry	F-43m, No. 216
crystal system	cubic
magnetization	6.70	μB per formula unit
total DFT energy (no corrections)	-6.12	eV per atom
formation energy from the elements	-0.389	eV/f.u.